# 1
First-principles (PBE) data for PmZn6Pt6 after structural relaxation, as listed in Alexandria.

Structure (extended XYZ):
```
13
Lattice="-3.8018 3.5925 0.3251 -6.2207 -2.7083 -0.5759 -2.1566 0.9624 6.3864" Properties=species:S:1:pos:R:3 pbc="T T T"
Zn -4.9746 1.9303 4.9778
Zn -3.1103 -1.3542 -0.2880
Zn -7.2044 -0.0837 1.1578
Zn -2.9792 2.2775 3.3558
Zn -1.0783 0.4812 3.1932
Zn -5.0112 0.4421 -0.1254
Pt -6.8040 0.0897 3.9243
Pt -2.8471 0.6923 1.2969
Pt -5.3751 1.7569 2.2113
Pt -3.5422 -0.2891 4.0126
Pt -9.3319 1.1543 4.8387
Pt -4.8350 -1.4568 1.7979
Pm 0.0000 0.0000 0.0000
```

Properties
Its space group is Immm. The energy relative to the elements is -13.075 kcal/mol of atoms. The spin magnetization comes out at 0.0 Bohr magnetons per cell.

# 2
First-principles (PBE) data for TlInTe2 after structural relaxation, as listed in Alexandria.

Structure (extended XYZ):
```
32
Lattice="8.7199 -0.0501 1.0008 -0.0893 8.7196 1.0008 -0.0470 -0.0472 16.7539" Properties=species:S:1:pos:R:3 pbc="T T T"
Te 2.6852 5.6042 8.4884
Te 4.9924 8.3129 5.7484
Te 5.0582 3.5717 5.1893
Te 3.0150 5.9355 1.8903
Te 6.5713 7.3547 10.8238
Te 8.2540 0.3432 13.5663
Te 3.5254 5.0506 13.5663
Te 1.2351 1.9944 16.3087
Te 5.8984 3.0180 10.2672
Te 0.3167 3.6161 4.6303
Te 3.5912 0.3094 13.0072
Te 8.2669 5.0062 14.1253
Te 2.0123 1.2676 7.9318
Te 0.3296 8.2791 5.1893
Te 7.3485 6.6278 2.4468
Te 5.5686 2.6867 16.8653
Tl 1.2467 7.4945 16.0964
Tl 6.1407 5.7191 7.7174
Tl 7.3368 1.1278 2.6592
Tl 2.4429 2.9032 11.0382
Tl 5.6679 6.1427 16.0944
Tl 2.9157 2.4795 2.6612
Tl 1.0713 7.3182 11.0361
Tl 7.5123 1.3040 7.7194
In 6.0875 4.9635 12.3115
In 6.1116 0.6305 11.7719
In 3.6240 2.4889 14.8210
In 2.4720 7.9917 6.9837
In 4.9596 6.1333 3.9346
In 2.4961 3.6588 6.4441
In 0.6266 6.1380 3.3949
In 7.9570 2.4843 15.3607
```

Properties
Its space group is C2/c. The total energy comes out at -3.192 eV per atom. The spin magnetization comes out at 0.0 Bohr magnetons per cell.

# 3
First-principles (PBE) data for ZnIr2Cl after structural relaxation, as listed in Alexandria.

Structure (extended XYZ):
```
4
Lattice="8.4906 -0.0110 -0.0065 8.0076 2.8229 -0.0065 8.0076 1.3648 2.4711" Properties=species:S:1:pos:R:3 pbc="T T T"
Cl 18.3793 3.1325 1.8436
Ir 12.2613 2.0898 1.2299
Ir 24.4973 4.1753 2.4573
Zn 6.1264 1.0442 0.6145
```

Properties
Its space group is R-3m. The spin magnetization comes out at 0.0 Bohr magnetons per cell. The polymorph energy (0 for the lowest one) is 0.2755 eV/atom.

# 4
First-principles (PBE) data for CaLa2P after structural relaxation, as listed in Alexandria.

Structure (extended XYZ):
```
4
Lattice="4.0821 0.0000 0.0000 2.0411 3.5352 0.0000 2.0411 1.1784 10.2256" Properties=species:S:1:pos:R:3 pbc="T T T"
La 2.0411 1.1784 1.6756
La 2.0411 1.1784 8.5542
P 4.0821 2.3568 0.0077
Ca 4.0821 2.3568 5.1007
```

Properties
Its space group is R3m. The energy relative to the elements is -16.680 kcal/mol of atoms. The spin magnetization comes out at 0.7 Bohr magnetons per cell.

# 5
First-principles (PBE) data for AlRu3Cl after structural relaxation, as listed in Alexandria.

Structure (extended XYZ):
```
5
Lattice="4.6248 0.0000 0.0000 0.0000 4.6248 0.0000 0.0000 0.0000 4.6248" Properties=species:S:1:pos:R:3 pbc="T T T"
Ru 0.0000 2.3124 0.0000
Ru 0.0000 0.0000 2.3124
Ru 2.3124 0.0000 0.0000
Cl 2.3124 2.3124 2.3124
Al 0.0000 0.0000 0.0000
```

Properties
Its space group is Pm-3m. The spin magnetization comes out at 5.9 Bohr magnetons per cell. The polymorph energy (0 for the lowest one) is 0.5385 eV/atom.

# 6
First-principles (PBE) data for CaTa2Re after structural relaxation, as listed in Alexandria.

Structure (extended XYZ):
```
8
Lattice="-6.2341 3.6701 2.8201 -4.6187 -5.2392 -3.3918 -5.3133 -2.4455 2.1257" Properties=species:S:1:pos:R:3 pbc="T T T"
Ta -7.7803 -2.1112 1.5814
Ta -13.7556 -3.5184 0.8926
Ta -6.1723 1.2456 2.0376
Ta -4.6239 -3.6452 -1.4035
Ca -5.4264 -0.7846 -0.2858
Ca -7.6792 -4.2346 -0.7759
Re 0.0000 0.0000 0.0000
Re -8.4869 0.2200 2.3300
```

Properties
Its space group is I-42d. The energy relative to the elements is 18.972 kcal/mol of atoms. The spin magnetization comes out at 0.0 Bohr magnetons per cell. The polymorph energy (0 for the lowest one) is 0.4653 eV/atom.